VASP calculation (GGA-PBEsol) on a relaxed Mg5Tl24 crystal.

Unit cell a=10.174 b=10.174 c=10.174 alpha=109.47 beta=109.47 gamma=109.47
Atoms (fractional coordinates):
Mg: 0.000 0.000 0.000
Mg: 0.000 0.000 0.335
Mg: 0.000 0.335 0.000
Mg: 0.335 0.000 0.000
Mg: 0.665 0.665 0.665
Tl: 0.000 0.308 0.585
Tl: 0.000 0.585 0.308
Tl: 0.000 0.622 0.809
Tl: 0.000 0.809 0.622
Tl: 0.187 0.378 0.378
Tl: 0.191 0.191 0.813
Tl: 0.191 0.813 0.191
Tl: 0.277 0.692 0.692
Tl: 0.308 0.000 0.585
Tl: 0.308 0.585 0.000
Tl: 0.378 0.187 0.378
Tl: 0.378 0.378 0.187
Tl: 0.415 0.415 0.723
Tl: 0.415 0.723 0.415
Tl: 0.585 0.000 0.308
Tl: 0.585 0.308 0.000
Tl: 0.622 0.000 0.809
Tl: 0.622 0.809 0.000
Tl: 0.692 0.277 0.692
Tl: 0.692 0.692 0.277
Tl: 0.723 0.415 0.415
Tl: 0.809 0.000 0.622
Tl: 0.809 0.622 0.000
Tl: 0.813 0.191 0.191

Output
The energy of formation is 0.046 eV/atom.

---

VASP calculation (GGA-PBEsol) on a relaxed Be2InSb crystal.

Unit cell a=3.727 b=3.727 c=6.346 alpha=107.79 beta=107.79 gamma=60.48
Atoms (fractional coordinates):
Be: 0.241 0.241 0.221
Be: 0.759 0.759 0.779
In: 0.000 0.000 0.500
Sb: 0.500 0.500 0.000

Output
The value obtained for the formation energy without anion corrections is 451 meV per atom.

---

VASP calculation (GGA-PBEsol) on a relaxed Ho5Ge10Ir4 crystal.

Unit cell a=12.842 b=12.842 c=4.272 alpha=90.00 beta=90.00 gamma=90.00
Atoms (fractional coordinates):
Ho: 0.000 0.000 0.000
Ho: 0.116 0.384 0.500
Ho: 0.173 0.673 0.500
Ho: 0.327 0.173 0.500
Ho: 0.384 0.884 0.500
Ho: 0.500 0.500 0.000
Ho: 0.616 0.116 0.500
Ho: 0.673 0.827 0.500
Ho: 0.827 0.327 0.500
Ho: 0.884 0.616 0.500
Ge: 0.004 0.844 0.500
Ge: 0.067 0.567 0.000
Ge: 0.156 0.004 0.500
Ge: 0.164 0.199 0.000
Ge: 0.199 0.836 0.000
Ge: 0.301 0.336 0.000
Ge: 0.336 0.699 0.000
Ge: 0.344 0.504 0.500
Ge: 0.433 0.067 0.000
Ge: 0.496 0.344 0.500
Ge: 0.504 0.656 0.500
Ge: 0.567 0.933 0.000
Ge: 0.656 0.496 0.500
Ge: 0.664 0.301 0.000
Ge: 0.699 0.664 0.000
Ge: 0.801 0.164 0.000
Ge: 0.836 0.801 0.000
Ge: 0.844 0.996 0.500
Ge: 0.933 0.433 0.000
Ge: 0.996 0.156 0.500
Ir: 0.019 0.753 0.000
Ir: 0.247 0.019 0.000
Ir: 0.253 0.519 0.000
Ir: 0.481 0.253 0.000
Ir: 0.519 0.747 0.000
Ir: 0.747 0.481 0.000
Ir: 0.753 0.981 0.000
Ir: 0.981 0.247 0.000

Output
The energy of formation is -0.823 eV/atom.

---

VASP calculation (GGA-PBEsol) on a relaxed NaSbS2Cl crystal.

Unit cell a=4.880 b=4.880 c=4.663 alpha=90.00 beta=90.00 gamma=90.00
Atoms (fractional coordinates):
Na: 0.000 0.000 0.000
Sb: 0.500 0.500 0.500
S: 0.000 0.500 0.000
S: 0.500 0.000 0.000
Cl: 0.000 0.000 0.500

Output
The value obtained for the formation energy without anion corrections is 328 meV per atom.